(1)
A plane-wave DFT calculation with PBE-GGA was carried out for an optimized crystal structure of PrZrSc.

a b c (Å): 5.0935 5.0935 5.0935
angles (deg): 60.00 60.00 60.00
Closest atoms and distances in Å follow each position.
Atoms (fractional coordinates):
Sc 0.7500 0.7500 0.7500  4 Zr 3.12
Zr 0.0000 0.0000 0.0000  4 Sc 3.12, 4 Pr 3.12
Pr 0.2500 0.2500 0.2500  4 Zr 3.12

Values from the calculation:
For the electronic total energy, the calculation gives -5.74 eV/atom. As for the formation enthalpy at 0 K: 0.8075 eV/atom.

=====

(2)
A plane-wave DFT calculation with PBE-GGA was carried out for an optimized crystal structure of NaDyZnSe3.

a b c (Å): 14.0207 4.0571 11.1020
angles (deg): 90.00 90.00 90.00
Closest atoms and distances in Å follow each position.
Atoms (fractional coordinates):
Dy 0.4813 0.7500 0.3436  6 Se 2.82-3.04
Se 0.8604 0.2500 0.2554  1 Zn 2.44
Na 0.7642 0.7500 0.4286  4 Se 2.99-3.10
Na 0.2358 0.2500 0.5714  4 Se 2.99-3.10
Dy 0.0187 0.2500 0.8436  6 Se 2.82-3.04
Se 0.1080 0.2500 0.0713  3 Dy 2.82-2.86, 2 Na 2.99
Zn 0.5115 0.7500 0.9042  4 Se 2.44-2.57
Zn 0.4885 0.2500 0.0958  4 Se 2.44-2.57
Na 0.7358 0.2500 0.9286  4 Se 2.99-3.10
Na 0.2642 0.7500 0.0714  4 Se 2.99-3.10
Se 0.6080 0.2500 0.4287  3 Dy 2.82-2.86, 2 Na 2.99
Se 0.9048 0.2500 0.6105  3 Zn 2.53-2.57
Se 0.4048 0.2500 0.8895  3 Zn 2.53-2.57
Se 0.8920 0.7500 0.9287  3 Dy 2.82-2.86, 2 Na 2.99
Se 0.0952 0.7500 0.3895  3 Zn 2.53-2.57
Zn 0.9885 0.2500 0.4042  4 Se 2.44-2.57
Se 0.5952 0.7500 0.1105  3 Zn 2.53-2.57
Se 0.3920 0.7500 0.5713  3 Dy 2.82-2.86, 2 Na 2.99
Se 0.1396 0.7500 0.7446  1 Zn 2.44
Dy 0.5187 0.2500 0.6564  6 Se 2.82-3.04
Se 0.3604 0.2500 0.2446  1 Zn 2.44
Dy 0.9813 0.7500 0.1564  6 Se 2.82-3.04
Se 0.6396 0.7500 0.7554  1 Zn 2.44
Zn 0.0115 0.7500 0.5958  4 Se 2.44-2.57

Values from the calculation:
For the electronic total energy, the calculation gives -4.25 eV/atom.

=====

| no. | energy above the lowest structure with this stoichiometry (meV per atom) |
| --- | --- |
| 1 | 0 |
| 2 | 11 |